#w
NdBiPO: relaxed, GGA-PBE.

a = 5.7099 Å, b = 5.7099 Å, c = 5.3750 Å
α = 90.00°, β = 90.00°, γ = 90.00°
Space group P4/nmm (No. 129, origin choice 2)
Asymmetric unit:
Nd1 0.2500 0.7500 0.0000
Bi1 0.2500 0.2500 0.4957
P1 0.2500 0.2500 0.9944
O1 0.2500 0.7500 0.5000



#x
NdBiPO: relaxed, GGA-PBE.

a = 4.1067 Å, b = 8.2281 Å, c = 6.0282 Å
α = 90.00°, β = 90.00°, γ = 90.00°
Space group Pmc2_1 (No. 26)
Asymmetric unit:
Nd1 0.0000 0.1745 0.0000
Bi1 0.5000 0.3929 0.5492
P1 0.0000 0.1763 0.4939
O1 0.5000 0.2633 0.9231



Which structure is the least stable? The one labeled #w.



#w
NdBiPO: relaxed, GGA-PBE.

a = 5.6045 Å, b = 5.6045 Å, c = 5.4151 Å
α = 90.00°, β = 90.00°, γ = 90.00°
Space group P4/nmm (No. 129, origin choice 2)
Asymmetric unit:
Nd1 0.2500 0.7500 0.0000
Bi1 0.2500 0.2500 0.4952
P1 0.2500 0.2500 0.9927
O1 0.2500 0.7500 0.5000



#x
NdBiPO: relaxed, GGA-PBE.

a = 4.2834 Å, b = 4.2834 Å, c = 9.7890 Å
α = 90.00°, β = 90.00°, γ = 90.00°
Space group P4/nmm (No. 129, origin choice 2)
Asymmetric unit:
Nd1 0.2500 0.2500 0.1063
Bi1 0.2500 0.7500 0.5000
P1 0.2500 0.2500 0.7284
O1 0.2500 0.7500 0.0000



Which structure is the least stable? The one labeled #w.



#w
NdSnBi: relaxed, GGA-PBE.

a = 7.4922 Å, b = 7.4922 Å, c = 7.4922 Å
α = 90.00°, β = 90.00°, γ = 90.00°
Space group F-43m (No. 216)
Asymmetric unit:
Nd1 0.0000 0.0000 0.0000
Sn1 0.2500 0.2500 0.7500
Bi1 0.0000 0.0000 0.5000



#x
NdSnBi: relaxed, GGA-PBE.

a = 7.5269 Å, b = 7.5269 Å, c = 7.5269 Å
α = 90.00°, β = 90.00°, γ = 90.00°
Space group F-43m (No. 216)
Asymmetric unit:
Nd1 0.0000 0.0000 0.0000
Sn1 0.2500 0.2500 0.2500
Bi1 0.2500 0.2500 0.7500



Which structure is the least stable? The one labeled #x.



#w
Nd3Bi2Te: relaxed, GGA-PBE.

a = 4.5556 Å, b = 4.5556 Å, c = 11.1700 Å
α = 90.00°, β = 90.00°, γ = 120.00°
Space group P-3m1 (No. 164)
Asymmetric unit:
Nd1 0.0000 0.0000 0.0000
Nd2 0.3333 0.6667 0.3327
Bi1 0.3333 0.6667 0.8319
Te1 0.0000 0.0000 0.5000



#x
Nd3Bi2Te: relaxed, GGA-PBE.

a = 7.9042 Å, b = 13.7089 Å, c = 7.9112 Å
α = 90.00°, β = 109.52°, γ = 90.00°
Space group C2/c (No. 15)
Asymmetric unit:
Nd1 0.2488 0.0839 0.0011
Nd2 0.2500 0.2500 0.5000
Bi1 0.0000 0.0833 0.2500
Bi2 0.0000 0.2499 0.7500
Te1 0.0000 0.4163 0.2500



Which structure is the least stable? The one labeled #w.



#w
NdTlBi: relaxed, GGA-PBE.

a = 7.4701 Å, b = 7.4701 Å, c = 7.4701 Å
α = 90.00°, β = 90.00°, γ = 90.00°
Space group F-43m (No. 216)
Asymmetric unit:
Nd1 0.0000 0.0000 0.0000
Tl1 0.2500 0.2500 0.7500
Bi1 0.0000 0.0000 0.5000



#x
NdTlBi: relaxed, GGA-PBE.

a = 7.5182 Å, b = 7.5182 Å, c = 7.5182 Å
α = 90.00°, β = 90.00°, γ = 90.00°
Space group F-43m (No. 216)
Asymmetric unit:
Nd1 0.0000 0.0000 0.0000
Tl1 0.2500 0.2500 0.2500
Bi1 0.2500 0.2500 0.7500



Which structure is the least stable? The one labeled #w.



#w
Ni9Bi: relaxed, GGA-PBE.

a = 2.7110 Å, b = 3.3433 Å, c = 36.8112 Å
α = 90.00°, β = 90.00°, γ = 90.00°
Space group Pmmn (No. 59, origin choice 2)
Asymmetric unit:
Ni1 0.2500 0.2500 0.0167
Ni2 0.2500 0.2500 0.0832
Ni3 0.2500 0.2500 0.1496
Ni4 0.2500 0.2500 0.2164
Ni5 0.2500 0.2500 0.2838
Ni6 0.2500 0.2500 0.7504
Ni7 0.2500 0.2500 0.8168
Ni8 0.2500 0.2500 0.8835
Ni9 0.2500 0.2500 0.9501
Bi1 0.2500 0.2500 0.6698



#x
Ni9Bi: relaxed, GGA-PBE.

a = 2.8433 Å, b = 2.8433 Å, c = 37.3236 Å
α = 90.00°, β = 90.00°, γ = 90.00°
Space group P4/nmm (No. 129, origin choice 2)
Asymmetric unit:
Ni1 0.2500 0.2500 0.0182
Ni2 0.2500 0.2500 0.0904
Ni3 0.2500 0.2500 0.1618
Ni4 0.2500 0.2500 0.2325
Ni5 0.2500 0.2500 0.3052
Ni6 0.2500 0.2500 0.7327
Ni7 0.2500 0.2500 0.8026
Ni8 0.2500 0.2500 0.8739
Ni9 0.2500 0.2500 0.9460
Bi1 0.2500 0.2500 0.6426



Which structure is the least stable? The one labeled #x.